(1)
{
  "formula": "Cs2Hg6Au",
  "functional": "PBE-GGA",
  "state": "relaxed",
  "n_ef_per_ev_fu": 4.25,
  "e_tot_ev_per_fu": -8.8,
  "e_above_lowest_polymorph_mev_per_atom": 0,
  "sg": "C2/m, No. 12",
  "mass_density_g_cm3": 9.059,
  "e_form_ev_per_atom": -0.22,
  "lattice_angstrom": [[-2.170, 5.990, -2.115], [-1.940, -2.949, -6.330], [-6.665, -2.722, -0.837]],
  "species": ["Hg", "Hg", "Cs", "Au", "Hg", "Cs", "Hg", "Hg", "Hg"],
  "fractional_positions": [[0.319, 0.830, 0.830], [0.681, 0.658, 0.172], [0.829, 0.667, 0.667], [0.000, 0.000, 0.000], [0.681, 0.170, 0.170], [0.171, 0.333, 0.333], [0.681, 0.172, 0.658], [0.319, 0.828, 0.342], [0.319, 0.342, 0.828]]
}

(2)
{
  "formula": "Cs6HgAu",
  "functional": "PBE-GGA",
  "state": "relaxed",
  "n_ef_per_ev_fu": 6.23,
  "e_tot_ev_per_fu": -9.9,
  "sg": "P-31c, No. 163",
  "mass_density_g_cm3": 3.065,
  "e_form_ev_per_atom": -0.15,
  "lattice_angstrom": [[9.192, 0.000, 0.000], [-4.596, 7.961, 0.000], [0.000, 0.000, 17.698]],
  "species": ["Hg", "Cs", "Au", "Hg", "Cs", "Cs", "Cs", "Cs", "Cs", "Cs", "Cs", "Cs", "Cs", "Cs", "Cs", "Au"],
  "fractional_positions": [[0.000, 0.000, 0.000], [0.349, 0.336, 0.871], [0.333, 0.667, 0.250], [0.000, 0.000, 0.500], [0.336, 0.349, 0.371], [0.013, 0.349, 0.129], [0.336, 0.987, 0.129], [0.987, 0.651, 0.871], [0.651, 0.987, 0.371], [0.013, 0.664, 0.371], [0.651, 0.664, 0.129], [0.664, 0.013, 0.871], [0.664, 0.651, 0.629], [0.349, 0.013, 0.629], [0.987, 0.336, 0.629], [0.667, 0.333, 0.750]]
}

(3)
{
  "formula": "Cs2HgAu2",
  "functional": "PBE-GGA",
  "state": "relaxed",
  "n_ef_per_ev_fu": 0.00,
  "e_tot_ev_per_fu": -9.9,
  "e_above_lowest_polymorph_mev_per_atom": 18,
  "sg": "P4/mbm, No. 127",
  "mass_density_g_cm3": 7.069,
  "e_form_ev_per_atom": -0.27,
  "lattice_angstrom": [[9.070, 0.000, 0.000], [0.000, 9.070, 0.000], [0.000, 0.000, 4.913]],
  "species": ["Hg", "Au", "Cs", "Au", "Au", "Hg", "Cs", "Cs", "Cs", "Au"],
  "fractional_positions": [[0.000, 0.000, 0.000], [0.883, 0.617, 0.000], [0.175, 0.675, 0.500], [0.117, 0.383, 0.000], [0.617, 0.117, 0.000], [0.500, 0.500, 0.000], [0.325, 0.175, 0.500], [0.825, 0.325, 0.500], [0.675, 0.825, 0.500], [0.383, 0.883, 0.000]]
}

(4)
{
  "formula": "Cs7HgAu2",
  "functional": "PBE-GGA",
  "state": "relaxed",
  "n_ef_per_ev_fu": 10.76,
  "e_tot_ev_per_fu": -14.0,
  "sg": "Cmmm, No. 65",
  "mass_density_g_cm3": 3.341,
  "e_form_ev_per_atom": -0.12,
  "lattice_angstrom": [[6.926, 0.000, 0.000], [0.000, 10.898, 0.359], [0.000, -4.596, 9.888]],
  "species": ["Cs", "Cs", "Cs", "Cs", "Au", "Cs", "Cs", "Cs", "Au", "Hg"],
  "fractional_positions": [[0.000, 0.717, 0.283], [0.500, 0.500, 0.500], [0.500, 0.947, 0.678], [0.500, 0.322, 0.053], [0.500, 0.298, 0.702], [0.000, 0.283, 0.717], [0.500, 0.678, 0.947], [0.500, 0.053, 0.322], [0.500, 0.702, 0.298], [0.000, 0.000, 0.000]]
}

(5)
{
  "formula": "CsHg2Au",
  "functional": "PBE-GGA",
  "state": "relaxed",
  "n_ef_per_ev_fu": 0.36,
  "e_tot_ev_per_fu": -5.3,
  "e_above_lowest_polymorph_mev_per_atom": 124,
  "sg": "P4/mmm, No. 123",
  "mass_density_g_cm3": 9.414,
  "e_form_ev_per_atom": -0.14,
  "lattice_angstrom": [[4.033, 0.000, 0.000], [0.000, 4.033, 0.000], [0.000, 0.000, 7.929]],
  "species": ["Au", "Hg", "Hg", "Cs"],
  "fractional_positions": [[0.500, 0.500, 0.000], [0.000, 0.000, 0.811], [0.000, 0.000, 0.189], [0.500, 0.500, 0.500]]
}

(6)
{
  "formula": "Cs6Hg12Au",
  "functional": "PBE-GGA",
  "state": "relaxed",
  "n_ef_per_ev_fu": 11.18,
  "e_tot_ev_per_fu": -16.5,
  "e_above_lowest_polymorph_mev_per_atom": 0,
  "sg": "R-3, No. 148",
  "mass_density_g_cm3": 7.246,
  "e_form_ev_per_atom": -0.24,
  "lattice_angstrom": [[-9.061, -1.887, 0.796], [2.237, -7.137, -5.511], [2.728, -3.782, 8.035]],
  "species": ["Cs", "Hg", "Cs", "Hg", "Cs", "Hg", "Cs", "Hg", "Hg", "Hg", "Au", "Hg", "Hg", "Cs", "Cs", "Hg", "Hg", "Hg", "Hg"],
  "fractional_positions": [[0.734, 0.326, 0.110], [0.053, 0.146, 0.321], [0.890, 0.266, 0.674], [0.250, 0.420, 0.513], [0.266, 0.674, 0.890], [0.420, 0.513, 0.250], [0.110, 0.734, 0.326], [0.854, 0.679, 0.947], [0.487, 0.750, 0.580], [0.679, 0.947, 0.854], [0.000, 0.000, 0.000], [0.750, 0.580, 0.487], [0.146, 0.321, 0.053], [0.674, 0.890, 0.266], [0.326, 0.110, 0.734], [0.947, 0.854, 0.679], [0.321, 0.053, 0.146], [0.580, 0.487, 0.750], [0.513, 0.250, 0.420]]
}